[1]
Computed, not measured: crystalline Sn2TeMo2 at its relaxed geometry at the PBE-GGA level of DFT.

**Total DFT energy (no corrections)**: -30.0 eV/cell
**Spin magnetization**: 2.405 μB/cell

```
Sn2TeMo2
1.0
-2.011 2.011 6.772
2.011 -2.011 6.772
2.011 2.011 -6.772
Sn Te Mo
2 1 2
direct
0.250 0.750 0.500
0.750 0.250 0.500
0.000 0.000 0.000
0.400 0.400 0.000
0.600 0.600 0.000
```

***

[2]
Computed, not measured: crystalline AlSi6NiPb at its relaxed geometry at the PBE-GGA level of DFT.

**Total DFT energy (no corrections)**: -42.0 eV/cell
**Spin magnetization**: 0.011 μB/cell

```
AlSi6NiPb
1.0
0.000 4.262 4.262
4.262 0.000 4.262
4.262 4.262 0.000
Al Si Ni Pb
1 6 1 1
direct
0.000 0.000 0.000
0.532 0.532 0.968
0.532 0.968 0.532
0.532 0.968 0.968
0.968 0.532 0.532
0.968 0.532 0.968
0.968 0.968 0.532
0.250 0.250 0.250
0.500 0.500 0.500
```